(1)
Density functional theory data (PBE-GGA) for a relaxed structure of Na4NpIn3S8.

Structure (POSCAR):
```
Na4NpIn3S8
1.0
3.916 2.261 6.712
-3.916 2.261 6.712
0.000 -4.521 6.712
Na Np In S
4 1 3 8
Direct
0.000 0.000 0.000 Na
0.000 0.500 0.500 Na
0.500 0.000 0.500 Na
0.500 0.500 0.000 Na
0.500 0.500 0.500 Np
0.000 0.000 0.500 In
0.000 0.500 0.000 In
0.500 0.000 0.000 In
0.237 0.745 0.745 S
0.239 0.239 0.239 S
0.255 0.255 0.763 S
0.255 0.763 0.255 S
0.745 0.237 0.745 S
0.745 0.745 0.237 S
0.761 0.761 0.761 S
0.763 0.255 0.255 S
```

Results
Density of states at the Fermi level   0.436 states/eV/atom

---

(2)
Density functional theory data (PBE-GGA) for a relaxed structure of NaNpInS4.

Structure (POSCAR):
```
NaNpInS4
1.0
-3.902 4.110 5.700
3.902 -4.110 5.700
3.902 4.110 -5.700
Na Np In S
2 2 2 8
Direct
0.387 0.137 0.250 Na
0.613 0.863 0.750 Na
0.000 0.500 0.500 Np
0.500 0.500 0.000 Np
0.000 0.000 0.500 In
0.000 0.500 0.000 In
0.204 0.739 0.465 S
0.225 0.261 0.965 S
0.244 0.272 0.528 S
0.244 0.716 0.972 S
0.756 0.284 0.028 S
0.756 0.728 0.472 S
0.775 0.739 0.035 S
0.796 0.261 0.535 S
```

Results
Density of states at the Fermi level   1.160 states/eV/atom

---

(3)
Density functional theory data (PBE-GGA) for a relaxed structure of Na2NpInS5.

Structure (POSCAR):
```
Na2NpInS5
1.0
1.996 -8.317 0.000
1.996 8.317 0.000
0.000 0.000 13.577
Na Np In S
4 2 2 10
Direct
0.084 0.916 0.500 Na
0.117 0.883 0.152 Na
0.883 0.117 0.652 Na
0.916 0.084 0.000 Na
0.235 0.765 0.865 Np
0.765 0.235 0.365 Np
0.441 0.559 0.268 In
0.559 0.441 0.768 In
0.071 0.929 0.883 S
0.263 0.737 0.490 S
0.282 0.718 0.236 S
0.382 0.618 0.840 S
0.500 0.500 0.109 S
0.500 0.500 0.609 S
0.618 0.382 0.340 S
0.718 0.282 0.736 S
0.737 0.263 0.990 S
0.929 0.071 0.383 S
```

Results
Density of states at the Fermi level   0.539 states/eV/atom

---

(4)
Density functional theory data (PBE-GGA) for a relaxed structure of Na4Np3InSe8.

Structure (POSCAR):
```
Na4Np3InSe8
1.0
7.311 -4.222 0.000
7.311 4.222 0.000
-4.880 0.000 6.896
Na Np In Se
4 3 1 8
Direct
0.000 0.000 0.000 Na
0.000 0.500 0.000 Na
0.500 0.000 0.000 Na
0.500 0.500 0.000 Na
0.000 0.000 0.500 Np
0.000 0.500 0.500 Np
0.500 0.000 0.500 Np
0.500 0.500 0.500 In
0.238 0.745 0.728 Se
0.243 0.243 0.730 Se
0.255 0.255 0.272 Se
0.255 0.762 0.272 Se
0.745 0.238 0.728 Se
0.745 0.745 0.728 Se
0.757 0.757 0.270 Se
0.762 0.255 0.272 Se
```

Results
Density of states at the Fermi level   1.955 states/eV/atom

---

(5)
Density functional theory data (PBE-GGA) for a relaxed structure of Na2NpInSe4.

Structure (POSCAR):
```
Na2NpInSe4
1.0
7.281 0.000 0.000
0.000 4.142 0.000
-2.413 0.000 6.958
Na Np In Se
2 1 1 4
Direct
0.000 0.000 0.000 Na
0.500 0.500 0.000 Na
0.000 0.500 0.500 Np
0.500 0.000 0.500 In
0.242 0.000 0.731 Se
0.260 0.500 0.275 Se
0.740 0.500 0.725 Se
0.758 0.000 0.269 Se
```

Results
Density of states at the Fermi level   1.158 states/eV/atom

---

(6)
Density functional theory data (PBE-GGA) for a relaxed structure of Na2Np3InTe6.

Structure (POSCAR):
```
Na2Np3InTe6
1.0
10.120 -2.238 0.000
10.120 2.238 0.000
-2.597 0.000 8.952
Na Np In Te
2 3 1 6
Direct
0.166 0.166 0.328 Na
0.834 0.834 0.672 Na
0.169 0.169 0.827 Np
0.500 0.500 0.500 Np
0.831 0.831 0.173 Np
0.500 0.500 0.000 In
0.007 0.007 0.737 Te
0.329 0.329 0.935 Te
0.336 0.336 0.412 Te
0.664 0.664 0.588 Te
0.671 0.671 0.065 Te
0.993 0.993 0.263 Te
```

Results
Density of states at the Fermi level   2.144 states/eV/atom

---

(7)
Density functional theory data (PBE-GGA) for a relaxed structure of Na4Np3InTe8.

Structure (POSCAR):
```
Na4Np3InTe8
1.0
4.517 2.608 7.401
-4.517 2.608 7.401
0.000 -5.216 7.401
Na Np In Te
4 3 1 8
Direct
0.000 0.000 0.000 Na
0.000 0.500 0.500 Na
0.500 0.000 0.500 Na
0.500 0.500 0.000 Na
0.000 0.000 0.500 Np
0.000 0.500 0.000 Np
0.500 0.000 0.000 Np
0.500 0.500 0.500 In
0.240 0.745 0.745 Te
0.245 0.245 0.245 Te
0.255 0.255 0.760 Te
0.255 0.760 0.255 Te
0.745 0.240 0.745 Te
0.745 0.745 0.240 Te
0.755 0.755 0.755 Te
0.760 0.255 0.255 Te
```

Results
Density of states at the Fermi level   1.893 states/eV/atom

---

(8)
Density functional theory data (PBE-GGA) for a relaxed structure of NaIn2O3.

Structure (POSCAR):
```
NaIn2O3
1.0
4.903 0.000 0.000
0.000 3.260 0.000
-1.194 0.000 10.592
Na In O
2 4 6
Direct
0.241 0.250 0.418 Na
0.759 0.750 0.582 Na
0.230 0.750 0.065 In
0.273 0.250 0.725 In
0.727 0.750 0.275 In
0.770 0.250 0.935 In
0.155 0.750 0.255 O
0.279 0.750 0.599 O
0.438 0.750 0.882 O
0.562 0.250 0.118 O
0.721 0.250 0.401 O
0.845 0.250 0.745 O
```

---

(9)
Density functional theory data (PBE-GGA) for a relaxed structure of Na2InO2.

Structure (POSCAR):
```
Na2InO2
1.0
-3.017 4.494 3.240
3.017 -4.494 3.240
3.017 4.494 -3.240
Na In O
4 2 4
Direct
0.159 0.087 0.246 Na
0.341 0.587 0.929 Na
0.659 0.413 0.071 Na
0.841 0.913 0.754 Na
0.250 0.750 0.500 In
0.750 0.250 0.500 In
0.091 0.713 0.804 O
0.409 0.213 0.621 O
0.591 0.787 0.379 O
0.909 0.287 0.196 O
```

Results
Density of states at the Fermi level   0.130 states/eV/atom

---

(10)
Density functional theory data (PBE-GGA) for a relaxed structure of NaInO2.

Structure (POSCAR):
```
NaInO2
1.0
3.292 -6.510 0.000
3.292 6.510 0.000
-3.146 0.000 4.739
Na In O
4 4 8
Direct
0.058 0.942 0.750 Na
0.182 0.818 0.250 Na
0.818 0.182 0.750 Na
0.942 0.058 0.250 Na
0.308 0.692 0.750 In
0.434 0.566 0.250 In
0.566 0.434 0.750 In
0.692 0.308 0.250 In
0.082 0.458 0.289 O
0.227 0.353 0.788 O
0.353 0.227 0.288 O
0.458 0.082 0.789 O
0.542 0.918 0.211 O
0.647 0.773 0.712 O
0.773 0.647 0.212 O
0.918 0.542 0.711 O
```

---

(11)
Density functional theory data (PBE-GGA) for a relaxed structure of NaIn2O.

Structure (POSCAR):
```
NaIn2O
1.0
-3.811 3.811 2.917
3.811 -3.811 2.917
3.811 3.811 -2.917
Na In O
2 4 2
Direct
0.000 0.000 0.000 Na
0.750 0.250 0.500 Na
0.207 0.625 0.082 In
0.375 0.457 0.582 In
0.543 0.125 0.918 In
0.875 0.793 0.418 In
0.250 0.750 0.500 O
0.500 0.500 0.000 O
```

Results
Density of states at the Fermi level   0.427 states/eV/atom

---

(12)
Density functional theory data (PBE-GGA) for a relaxed structure of NaInO2.

Structure (POSCAR):
```
NaInO2
1.0
-2.652 2.652 4.686
2.652 -2.652 4.686
2.652 2.652 -4.686
Na In O
2 2 4
Direct
0.000 0.000 0.000 Na
0.750 0.250 0.500 Na
0.250 0.750 0.500 In
0.500 0.500 0.000 In
0.165 0.625 0.040 O
0.375 0.415 0.540 O
0.585 0.125 0.960 O
0.875 0.835 0.460 O
```

Results
Density of states at the Fermi level   0.000 states/eV/atom

---

Number 1: uncorrected energy -4.67 eV/atom, formation energy (no corrections) -0.96 eV/atom. Number 2: uncorrected energy -5.77 eV/atom, formation energy (no corrections) -0.99 eV/atom. Number 3: uncorrected energy -5.29 eV/atom, formation energy (no corrections) -0.96 eV/atom. Number 4: uncorrected energy -5.76 eV/atom, formation energy (no corrections) -1.09 eV/atom. Number 5: uncorrected energy -5.01 eV/atom, formation energy (no corrections) -0.98 eV/atom. Number 6: uncorrected energy -5.93 eV/atom, formation energy (no corrections) -0.68 eV/atom. Number 7: uncorrected energy -5.24 eV/atom, formation energy (no corrections) -0.74 eV/atom. Number 8: uncorrected energy -4.95 eV/atom, formation energy (no corrections) -1.34 eV/atom. Number 9: uncorrected energy -4.23 eV/atom, formation energy (no corrections) -1.17 eV/atom. Number 10: uncorrected energy -5.10 eV/atom, formation energy (no corrections) -1.61 eV/atom. Number 11: uncorrected energy -3.46 eV/atom, formation energy (no corrections) -0.52 eV/atom. Number 12: uncorrected energy -5.02 eV/atom, formation energy (no corrections) -1.53 eV/atom.